Entry 1:
AgPt4: relaxed, PBE.

The electronic total energy comes out at -27.2 eV for the cell shown. For the volume, the calculation gives 15.909 Å³ per atom. The density of states at the Fermi level is 1.26 states/eV/atom. The formation energy is -1.1 kcal/mol of atoms. For the energy above the most stable polymorph in this dataset, the calculation gives 0.00 eV/f.u. The total moment comes out at 0.00 μB per atom.

a = 11.878 Å, b = 11.878 Å, c = 11.878 Å
α = 13.51°, β = 13.51°, γ = 13.51°
Element x y z (fractional)
Pt 0.599 0.599 0.599
Pt 0.200 0.200 0.200
Pt 0.800 0.800 0.800
Pt 0.401 0.401 0.401
Ag 0.000 0.000 0.000

Entry 2:
AgPt: relaxed, PBE.

The electronic total energy comes out at -52.7 eV for the cell shown. For the volume, the calculation gives 16.588 Å³ per atom. The density of states at the Fermi level is 1.03 states/eV/atom. The formation energy is 1.3 kcal/mol of atoms. The total moment comes out at 0.00 μB per atom.

a = 4.146 Å, b = 5.664 Å, c = 8.477 Å
α = 90.00°, β = 90.00°, γ = 90.00°
Element x y z (fractional)
Ag 0.000 0.997 0.000
Ag 0.500 0.250 0.170
Ag 0.500 0.750 0.500
Ag 0.500 0.250 0.830
Ag 0.000 0.503 0.000
Ag 0.500 0.250 0.500
Pt 0.000 0.505 0.335
Pt 0.000 0.995 0.665
Pt 0.500 0.750 0.170
Pt 0.000 0.995 0.335
Pt 0.000 0.505 0.665
Pt 0.500 0.750 0.830